[1]
A relaxed SrLaSi crystal. Source: Alexandria, functional PBE.

Values from the calculation:
For the total energy, the calculation gives -4.2591 eV per atom. Its formation energy from raw total energies is -0.248 eV/atom.

Cell: 3.716 3.716 14.543 Å, 90.00 90.00 90.00°
Space group I4mm (No. 107)
Asymmetric unit:
Sr: 0.000 0.000 0.000
La: 0.000 0.000 0.747
Si: 0.000 0.000 0.362

[2]
A relaxed Sr2LaSi2 crystal. Source: Alexandria, functional PBE.

Values from the calculation:
For the total energy, the calculation gives -4.0566 eV per atom. The calculation puts the excess energy over the best structure of this formula in the dataset at 0.14 eV/f.u. Its formation energy from raw total energies is -0.229 eV/atom.

Cell: 8.882 8.882 3.884 Å, 90.00 90.00 90.00°
Space group P4/mbm (No. 127)
Asymmetric unit:
Sr: 0.134 0.366 0.000
La: 0.000 0.000 0.500
Si: 0.171 0.671 0.500

[3]
A relaxed SrLaSi4 crystal. Source: Alexandria, functional PBE.

Values from the calculation:
For the total energy, the calculation gives -4.9748 eV per atom. The calculation puts the excess energy over the best structure of this formula in the dataset at 1.55 eV/f.u. Its formation energy from raw total energies is -0.258 eV/atom.

Cell: 7.930 7.930 7.930 Å, 90.00 90.00 90.00°
Space group F-43m (No. 216)
Asymmetric unit:
Sr: 0.000 0.000 0.000
La: 0.250 0.250 0.750
Si: 0.114 0.114 0.386

[4]
A relaxed SrLa2Si2 crystal. Source: Alexandria, functional PBE.

Values from the calculation:
For the total energy, the calculation gives -4.8284 eV per atom. The calculation puts the excess energy over the best structure of this formula in the dataset at 0.68 eV/f.u. Its formation energy from raw total energies is -0.352 eV/atom.

Cell: 4.737 4.737 13.070 Å, 90.00 90.00 90.00°
Space group I4/mmm (No. 139)
Asymmetric unit:
Sr: 0.000 0.000 0.000
La: 0.000 0.500 0.250
Si: 0.000 0.000 0.409